This record from Alexandria via LeMat-Bulk describes Tb2AuSe4 after structural relaxation. The functional is PBE.

Lattice parameters (Å, degrees): 6.894 5.650 9.033 90.00 101.07 90.00
Element x y z (fractional)
Tb1 0.178 0.250 0.368
Tb2 0.235 0.250 0.938
Tb3 0.765 0.750 0.062
Tb4 0.822 0.750 0.632
Au1 0.340 0.750 0.576
Au2 0.660 0.250 0.424
Se1 0.031 0.750 0.377
Se2 0.090 0.750 0.904
Se3 0.451 0.510 0.206
Se4 0.451 0.990 0.206
Se5 0.549 0.010 0.794
Se6 0.549 0.490 0.794
Se7 0.910 0.250 0.096
Se8 0.969 0.250 0.623

Properties
- V (A^3/atom) = 24.7
- SG = P2_1/m (11)
- energy relative to the elements, uncorrected (kJ/mol of formula units) = -845

This record from Alexandria via LeMat-Bulk describes Cs2RbBiCl6 after structural relaxation. The functional is PBE.

Lattice parameters (Å, degrees): 8.042 8.419 14.059 90.00 124.82 90.00
Element x y z (fractional)
Cs1 0.231 0.063 0.250
Cs2 0.231 0.437 0.750
Cs3 0.769 0.563 0.250
Cs4 0.769 0.937 0.750
Rb1 0.500 0.000 0.000
Rb2 0.500 0.500 0.500
Bi1 0.000 0.000 0.500
Bi2 0.000 0.500 0.000
Cl1 0.122 0.229 0.947
Cl2 0.122 0.271 0.447
Cl3 0.230 0.682 0.955
Cl4 0.230 0.818 0.455
Cl5 0.321 0.032 0.727
Cl6 0.321 0.468 0.227
Cl7 0.679 0.532 0.773
Cl8 0.679 0.968 0.273
Cl9 0.770 0.182 0.545
Cl10 0.770 0.318 0.045
Cl11 0.878 0.729 0.553
Cl12 0.878 0.771 0.053

Properties
- V (A^3/atom) = 39.1
- SG = P2_1/c (14)
- energy relative to the elements, uncorrected (kJ/mol of formula units) = -1592

This record from Alexandria via LeMat-Bulk describes Zr5Sn3P after structural relaxation. The functional is PBE.

Lattice parameters (Å, degrees): 8.635 8.635 5.945 90.00 90.00 120.00
Element x y z (fractional)
Zr1 0.000 0.251 0.250
Zr2 0.000 0.749 0.750
Zr3 0.251 0.000 0.250
Zr4 0.251 0.251 0.750
Zr5 0.333 0.667 0.000
Zr6 0.333 0.667 0.500
Zr7 0.667 0.333 0.000
Zr8 0.667 0.333 0.500
Zr9 0.749 0.000 0.750
Zr10 0.749 0.749 0.250
Sn1 0.000 0.399 0.750
Sn2 0.000 0.601 0.250
Sn3 0.399 0.000 0.750
Sn4 0.399 0.399 0.250
Sn5 0.601 0.000 0.250
Sn6 0.601 0.601 0.750
P1 0.000 0.000 0.000
P2 0.000 0.000 0.500

Properties
- V (A^3/atom) = 21.3
- energy of formation (eV/f.u.) = -7.549
- SG = P6_3/mcm (193)

This record from Alexandria via LeMat-Bulk describes K2PtSe after structural relaxation. The functional is PBE.

Lattice parameters (Å, degrees): 4.630 4.630 8.985 94.13 94.13 35.40
Element x y z (fractional)
K1 0.246 0.246 0.251
K2 0.754 0.754 0.749
Pt1 0.000 0.000 0.500
Se1 0.500 0.500 0.000

Properties
- V (A^3/atom) = 27.8
- SG = C2/m (12)
- energy relative to the elements, uncorrected (kJ/mol of formula units) = -55

This record from Alexandria via LeMat-Bulk describes RbPr2Sn3Te6 after structural relaxation. The functional is PBE.

Lattice parameters (Å, degrees): 10.351 10.351 9.530 103.61 103.61 25.21
Element x y z (fractional)
Rb1 0.000 0.000 0.000
Pr1 0.330 0.330 0.652
Pr2 0.670 0.670 0.348
Sn1 0.000 0.000 0.500
Sn2 0.341 0.341 0.154
Sn3 0.659 0.659 0.846
Te1 0.166 0.166 0.595
Te2 0.182 0.182 0.104
Te3 0.492 0.492 0.722
Te4 0.508 0.508 0.278
Te5 0.818 0.818 0.896
Te6 0.834 0.834 0.405

Properties
- V (A^3/atom) = 35.2
- SG = C2/m (12)
- energy relative to the elements, uncorrected (kJ/mol of formula units) = -877

This record from Alexandria via LeMat-Bulk describes ScCoW3 after structural relaxation. The functional is PBE.

Lattice parameters (Å, degrees): 4.550 4.550 4.550 90.00 90.00 90.00
Element x y z (fractional)
Sc1 0.000 0.000 0.000
Co1 0.500 0.500 0.500
W1 0.000 0.000 0.500
W2 0.000 0.500 0.000
W3 0.500 0.000 0.000

Properties
- V (A^3/atom) = 18.8
- energy of formation (eV/f.u.) = 13.591
- SG = Pm-3m (221)